[1]
# Nd2Y5Th

Crystalline Nd2Y5Th at its relaxed geometry (PBE, the Alexandria database).

Cell lengths 6.632, 23.328, 6.970 Å; angles 90.00, 90.00, 90.00 degrees
Sites, in units of the cell vectors:
Nd: 0.243 0.247 0.155
Nd: 0.243 0.753 0.655
Nd: 0.257 0.253 0.655
Nd: 0.257 0.747 0.155
Nd: 0.743 0.253 0.845
Nd: 0.743 0.747 0.345
Nd: 0.757 0.247 0.345
Nd: 0.757 0.753 0.845
Y: 0.000 0.007 0.750
Y: 0.000 0.993 0.250
Y: 0.187 0.121 0.439
Y: 0.187 0.879 0.939
Y: 0.189 0.383 0.435
Y: 0.189 0.617 0.935
Y: 0.311 0.117 0.935
Y: 0.311 0.883 0.435
Y: 0.313 0.379 0.939
Y: 0.313 0.621 0.439
Y: 0.500 0.493 0.250
Y: 0.500 0.507 0.750
Y: 0.687 0.379 0.561
Y: 0.687 0.621 0.061
Y: 0.689 0.117 0.565
Y: 0.689 0.883 0.065
Y: 0.811 0.383 0.065
Y: 0.811 0.617 0.565
Y: 0.813 0.121 0.061
Y: 0.813 0.879 0.561
Th: 0.000 0.488 0.750
Th: 0.000 0.512 0.250
Th: 0.500 0.012 0.250
Th: 0.500 0.988 0.750

Values from the calculation:
**DOS at the Fermi energy**: 1.703 states/eV/atom
**Calculated formation energy**: 0.18 eV per atom
**Energy above the lowest structure with this stoichiometry**: 147 meV per atom

[2]
# NdY2Th3

Crystalline NdY2Th3 at its relaxed geometry (PBE, the Alexandria database).

Cell lengths 8.032, 8.032, 11.385 Å; angles 115.05, 115.05, 36.81 degrees
Sites, in units of the cell vectors:
Nd: 0.128 0.128 0.132
Nd: 0.872 0.872 0.868
Y: 0.205 0.205 0.868
Y: 0.460 0.460 0.132
Y: 0.540 0.540 0.868
Y: 0.795 0.795 0.132
Th: 0.043 0.043 0.379
Th: 0.290 0.290 0.621
Th: 0.377 0.377 0.380
Th: 0.623 0.623 0.620
Th: 0.710 0.710 0.379
Th: 0.957 0.957 0.621

Values from the calculation:
**DOS at the Fermi energy**: 1.656 states/eV/atom
**Calculated formation energy**: 0.03 eV per atom

[3]
# Nd4Y3Th

Crystalline Nd4Y3Th at its relaxed geometry (PBE, the Alexandria database).

Cell lengths 8.982, 8.982, 3.445 Å; angles 90.00, 90.00, 96.88 degrees
Sites, in units of the cell vectors:
Nd: 0.249 0.751 0.000
Nd: 0.259 0.259 0.500
Nd: 0.741 0.741 0.500
Nd: 0.751 0.249 0.000
Y: 0.000 0.000 0.000
Y: 0.000 0.500 0.500
Y: 0.500 0.000 0.500
Th: 0.500 0.500 0.000

Values from the calculation:
**DOS at the Fermi energy**: 2.133 states/eV/atom
**Calculated formation energy**: 0.39 eV per atom
**Energy above the lowest structure with this stoichiometry**: 224 meV per atom

[4]
# Nd2YTh2

Crystalline Nd2YTh2 at its relaxed geometry (PBE, the Alexandria database).

Cell lengths 13.115, 13.115, 13.115 Å; angles 164.17, 164.17, 22.45 degrees
Sites, in units of the cell vectors:
Nd: 0.103 0.103 0.000
Nd: 0.897 0.897 0.000
Y: 0.500 0.500 0.000
Th: 0.297 0.297 0.000
Th: 0.703 0.703 0.000

Values from the calculation:
**DOS at the Fermi energy**: 1.611 states/eV/atom
**Calculated formation energy**: 0.03 eV per atom
**Energy above the lowest structure with this stoichiometry**: 0 meV per atom

[5]
# Nd3Y4Th

Crystalline Nd3Y4Th at its relaxed geometry (PBE, the Alexandria database).

Cell lengths 11.955, 11.955, 6.874 Å; angles 106.62, 106.62, 16.72 degrees
Sites, in units of the cell vectors:
Nd: 0.000 0.000 0.000
Nd: 0.123 0.123 0.863
Nd: 0.877 0.877 0.137
Y: 0.124 0.124 0.388
Y: 0.258 0.258 0.261
Y: 0.742 0.742 0.739
Y: 0.876 0.876 0.612
Th: 0.500 0.500 0.500

Values from the calculation:
**DOS at the Fermi energy**: 1.674 states/eV/atom
**Calculated formation energy**: 0.16 eV per atom
**Energy above the lowest structure with this stoichiometry**: 0 meV per atom

[6]
# NdY3Th3

Crystalline NdY3Th3 at its relaxed geometry (PBE, the Alexandria database).

Cell lengths 9.558, 9.558, 5.869 Å; angles 90.00, 90.00, 120.00 degrees
Sites, in units of the cell vectors:
Nd: 0.333 0.667 0.250
Nd: 0.667 0.333 0.750
Y: 0.043 0.239 0.250
Y: 0.196 0.957 0.250
Y: 0.239 0.196 0.750
Y: 0.761 0.804 0.250
Y: 0.804 0.043 0.750
Y: 0.957 0.761 0.750
Th: 0.102 0.487 0.750
Th: 0.385 0.898 0.750
Th: 0.487 0.385 0.250
Th: 0.513 0.615 0.750
Th: 0.615 0.102 0.250
Th: 0.898 0.513 0.250

Values from the calculation:
**DOS at the Fermi energy**: 1.716 states/eV/atom
**Calculated formation energy**: 0.07 eV per atom

[7]
# Nd3Y2Th

Crystalline Nd3Y2Th at its relaxed geometry (PBE, the Alexandria database).

Cell lengths 6.315, 8.099, 8.856 Å; angles 111.04, 90.18, 105.08 degrees
Sites, in units of the cell vectors:
Nd: 0.040 0.370 0.290
Nd: 0.125 0.121 0.877
Nd: 0.380 0.378 0.622
Nd: 0.620 0.622 0.378
Nd: 0.875 0.879 0.123
Nd: 0.960 0.630 0.710
Y: 0.215 0.878 0.459
Y: 0.296 0.633 0.041
Y: 0.704 0.367 0.959
Y: 0.785 0.122 0.541
Th: 0.462 0.121 0.203
Th: 0.538 0.879 0.797

Values from the calculation:
**DOS at the Fermi energy**: 1.442 states/eV/atom
**Calculated formation energy**: 0.04 eV per atom
**Energy above the lowest structure with this stoichiometry**: 0 meV per atom

[8]
# Nd5YTh

Crystalline Nd5YTh at its relaxed geometry (PBE, the Alexandria database).

Cell lengths 6.625, 6.625, 11.794 Å; angles 102.36, 102.36, 97.19 degrees
Sites, in units of the cell vectors:
Nd: 0.069 0.271 0.035
Nd: 0.102 0.898 0.750
Nd: 0.271 0.069 0.535
Nd: 0.318 0.444 0.838
Nd: 0.444 0.318 0.338
Nd: 0.556 0.682 0.662
Nd: 0.682 0.556 0.162
Nd: 0.729 0.931 0.465
Nd: 0.898 0.102 0.250
Nd: 0.931 0.729 0.965
Y: 0.246 0.754 0.250
Y: 0.754 0.246 0.750
Th: 0.000 0.500 0.500
Th: 0.500 0.000 0.000

Values from the calculation:
**DOS at the Fermi energy**: 1.464 states/eV/atom
**Calculated formation energy**: 0.14 eV per atom

no.,calculated total energy (eV per atom)
1,-5.98
2,-6.63
3,-5.34
4,-6.13
5,-5.79
6,-6.56
7,-5.74
8,-5.25